Entry one
# Co5Ni

A geometry-optimized Co5Ni structure (GGA-PBE, Alexandria).

Properties
- density of states at the Fermi level (states/eV/cell) = 7.20
- total magnetic moment (μB per formula unit) = 8.90
- theoretical density (g cm⁻³) = 9.0

a = 4.3043 Å, b = 4.3043 Å, c = 4.9652 Å
α = 106.51°, β = 106.51°, γ = 48.49°
Last column: nearest neighbours and their distance in Å.
Atoms (fractional coordinates):
Co (0.0000, 0.0000, 0.0000)  2 Ni 2.48, 10 Co 2.48-2.49
Co (0.3329, 0.3329, 0.1672)  10 Co 2.48-2.50, 2 Ni 2.49
Co (0.3336, 0.3336, 0.6674)  9 Co 2.48-2.50, 3 Ni 2.49
Co (0.6664, 0.6664, 0.3326)  9 Co 2.48-2.50, 3 Ni 2.49
Co (0.6671, 0.6671, 0.8328)  10 Co 2.48-2.50, 2 Ni 2.49
Ni (0.0000, 0.0000, 0.5000)  12 Co 2.48-2.49


Entry two
# Co5Ni

A geometry-optimized Co5Ni structure (GGA-PBE, Alexandria).

Properties
- density of states at the Fermi level (states/eV/cell) = 6.36
- total magnetic moment (μB per formula unit) = 8.78
- theoretical density (g cm⁻³) = 9.0

a = 4.7394 Å, b = 4.7394 Å, c = 5.8884 Å
α = 104.13°, β = 104.13°, γ = 30.68°
Last column: nearest neighbours and their distance in Å.
Atoms (fractional coordinates):
Co (0.0000, 0.0000, 0.0000)  3 Ni 2.48, 9 Co 2.48-2.51
Co (0.0552, 0.0552, 0.6081)  10 Co 2.47-2.51, 2 Ni 2.50
Co (0.3339, 0.3339, 0.6657)  10 Co 2.45-2.51, 2 Ni 2.48
Co (0.3888, 0.3888, 0.2788)  10 Co 2.45-2.51, 2 Ni 2.51
Co (0.6671, 0.6671, 0.3331)  11 Co 2.47-2.51, 1 Ni 2.47
Ni (0.7217, 0.7217, 0.9427)  10 Co 2.47-2.51, 2 Ni 2.51


Entry three
# Co5Ni

A geometry-optimized Co5Ni structure (GGA-PBE, Alexandria).

Properties
- density of states at the Fermi level (states/eV/cell) = 5.62
- total magnetic moment (μB per formula unit) = 8.55
- theoretical density (g cm⁻³) = 9.0

a = 4.3215 Å, b = 4.3215 Å, c = 4.0223 Å
α = 90.00°, β = 90.00°, γ = 120.00°
Last column: nearest neighbours and their distance in Å.
Atoms (fractional coordinates):
Co (0.0000, 0.6662, 0.0000)  10 Co 2.47-2.50, 2 Ni 2.48
Co (0.3333, 0.6667, 0.5000)  9 Co 2.47-2.50, 3 Ni 2.50
Co (0.3338, 0.3338, 0.0000)  10 Co 2.47-2.50, 2 Ni 2.48
Co (0.6662, 0.0000, 0.0000)  10 Co 2.47-2.50, 2 Ni 2.48
Co (0.6667, 0.3333, 0.5000)  9 Co 2.47-2.50, 3 Ni 2.50
Ni (0.0000, 0.0000, 0.5000)  12 Co 2.48-2.50


Which of them is most stable, and which least? Most stable: entry three; least stable: entry one.


Entry one
# Co2Ni3

A geometry-optimized Co2Ni3 structure (GGA-PBE, Alexandria).

Properties
- density of states at the Fermi level (states/eV/cell) = 11.94
- total magnetic moment (μB per formula unit) = 5.10
- theoretical density (g cm⁻³) = 8.8

a = 6.3545 Å, b = 6.3545 Å, c = 7.7074 Å
α = 109.54°, β = 109.54°, γ = 22.23°
Last column: nearest neighbours and their distance in Å.
Atoms (fractional coordinates):
Co (0.1933, 0.1933, 0.3620)  5 Co 2.38-2.45, 6 Ni 2.41-2.51
Co (0.2887, 0.2887, 0.1423)  5 Co 2.38-2.45, 6 Ni 2.39-2.55
Co (0.7113, 0.7113, 0.8577)  5 Co 2.38-2.45, 6 Ni 2.39-2.55
Co (0.8067, 0.8067, 0.6380)  5 Co 2.38-2.45, 6 Ni 2.41-2.51
Ni (0.0207, 0.0207, 0.7634)  10 Ni 2.45-2.60, 3 Co 2.51-2.55
Ni (0.3973, 0.3973, 0.9271)  7 Ni 2.42-2.60, 5 Co 2.45-2.51
Ni (0.4016, 0.4016, 0.4632)  7 Ni 2.32-2.59, 4 Co 2.39-2.44
Ni (0.5984, 0.5984, 0.5368)  7 Ni 2.32-2.59, 4 Co 2.39-2.44
Ni (0.6027, 0.6027, 0.0729)  7 Ni 2.42-2.60, 5 Co 2.45-2.51
Ni (0.9793, 0.9793, 0.2366)  10 Ni 2.45-2.60, 3 Co 2.51-2.55


Entry two
# Co2Ni3

A geometry-optimized Co2Ni3 structure (GGA-PBE, Alexandria).

Properties
- density of states at the Fermi level (states/eV/cell) = 9.64
- total magnetic moment (μB per formula unit) = 5.51
- theoretical density (g cm⁻³) = 7.9

a = 3.8555 Å, b = 3.8555 Å, c = 4.7801 Å
α = 90.00°, β = 90.00°, γ = 120.00°
Last column: nearest neighbours and their distance in Å.
Atoms (fractional coordinates):
Co (0.3333, 0.6667, 0.3577)  8 Ni 2.33-2.47
Co (0.6667, 0.3333, 0.6423)  8 Ni 2.33-2.47
Ni (0.0000, 0.0000, 0.5000)  6 Co 2.33
Ni (0.3333, 0.6667, 0.8647)  5 Co 2.36-2.47, 3 Ni 2.57
Ni (0.6667, 0.3333, 0.1353)  5 Co 2.36-2.47, 3 Ni 2.57


Which of them is most stable, and which least? Most stable: entry one; least stable: entry two.


Entry one
# Co5Ni4

A geometry-optimized Co5Ni4 structure (GGA-PBE, Alexandria).

Properties
- density of states at the Fermi level (states/eV/cell) = 14.07
- total magnetic moment (μB per formula unit) = 11.23
- theoretical density (g cm⁻³) = 8.8

a = 6.3004 Å, b = 6.3004 Å, c = 6.3004 Å
α = 92.48°, β = 92.48°, γ = 155.97°
Last column: nearest neighbours and their distance in Å.
Atoms (fractional coordinates):
Co (0.0000, 0.0000, 0.0000)  10 Co 2.44-2.62
Co (0.3332, 0.3332, 0.6665)  4 Ni 2.43, 6 Co 2.44-2.62
Co (0.3332, 0.6668, 0.0000)  4 Ni 2.43, 6 Co 2.44-2.62
Co (0.6668, 0.3332, 0.0000)  4 Ni 2.43, 6 Co 2.44-2.62
Co (0.6668, 0.6668, 0.3335)  4 Ni 2.43, 6 Co 2.44-2.62
Ni (0.0000, 0.3320, 0.3320)  4 Co 2.43, 6 Ni 2.45-2.62
Ni (0.0000, 0.6680, 0.6680)  4 Co 2.43, 6 Ni 2.45-2.62
Ni (0.3320, 0.0000, 0.3320)  4 Co 2.43, 6 Ni 2.45-2.62
Ni (0.6680, 0.0000, 0.6680)  4 Co 2.43, 6 Ni 2.45-2.62


Entry two
# Co5Ni4

A geometry-optimized Co5Ni4 structure (GGA-PBE, Alexandria).

Properties
- density of states at the Fermi level (states/eV/cell) = 10.94
- total magnetic moment (μB per formula unit) = 11.25
- theoretical density (g cm⁻³) = 8.9

a = 5.5727 Å, b = 5.5727 Å, c = 5.5727 Å
α = 95.70°, β = 95.70°, γ = 143.25°
Last column: nearest neighbours and their distance in Å.
Atoms (fractional coordinates):
Co (0.0000, 0.0000, 0.0000)  4 Ni 2.48, 8 Co 2.48
Co (0.3340, 0.3340, 0.6680)  6 Ni 2.48-2.50, 6 Co 2.48-2.50
Co (0.3340, 0.6660, 0.0000)  6 Ni 2.48-2.50, 6 Co 2.48-2.50
Co (0.6660, 0.3340, 0.0000)  6 Ni 2.48-2.50, 6 Co 2.48-2.50
Co (0.6660, 0.6660, 0.3320)  6 Ni 2.48-2.50, 6 Co 2.48-2.50
Ni (0.0000, 0.3316, 0.3316)  7 Co 2.48-2.50, 5 Ni 2.50-2.52
Ni (0.0000, 0.6684, 0.6684)  7 Co 2.48-2.50, 5 Ni 2.50-2.52
Ni (0.3316, 0.0000, 0.3316)  7 Co 2.48-2.50, 5 Ni 2.50-2.52
Ni (0.6684, 0.0000, 0.6684)  7 Co 2.48-2.50, 5 Ni 2.50-2.52


Which of them is most stable, and which least? Most stable: entry two; least stable: entry one.


Entry one
# Co4Ni5

A geometry-optimized Co4Ni5 structure (GGA-PBE, Alexandria).

Properties
- density of states at the Fermi level (states/eV/cell) = 11.19
- total magnetic moment (μB per formula unit) = 10.26
- theoretical density (g cm⁻³) = 8.9

a = 5.5795 Å, b = 5.5795 Å, c = 5.5795 Å
α = 95.64°, β = 95.64°, γ = 143.45°
Last column: nearest neighbours and their distance in Å.
Atoms (fractional coordinates):
Co (0.0000, 0.3367, 0.3367)  5 Co 2.45-2.46, 7 Ni 2.49-2.52
Co (0.0000, 0.6633, 0.6633)  5 Co 2.45-2.46, 7 Ni 2.49-2.52
Co (0.3367, 0.0000, 0.3367)  5 Co 2.45-2.46, 7 Ni 2.49-2.52
Co (0.6633, 0.0000, 0.6633)  5 Co 2.45-2.46, 7 Ni 2.49-2.52
Ni (0.0000, 0.0000, 0.0000)  8 Ni 2.49, 4 Co 2.52
Ni (0.3325, 0.3325, 0.6650)  6 Ni 2.47-2.51, 6 Co 2.49-2.50
Ni (0.3325, 0.6675, 0.0000)  6 Ni 2.47-2.51, 6 Co 2.49-2.50
Ni (0.6675, 0.3325, 0.0000)  6 Ni 2.47-2.51, 6 Co 2.49-2.50
Ni (0.6675, 0.6675, 0.3350)  6 Ni 2.47-2.51, 6 Co 2.49-2.50


Entry two
# Co4Ni5

A geometry-optimized Co4Ni5 structure (GGA-PBE, Alexandria).

Properties
- density of states at the Fermi level (states/eV/cell) = 28.21
- total magnetic moment (μB per formula unit) = 10.40
- theoretical density (g cm⁻³) = 8.8

a = 6.9004 Å, b = 6.9004 Å, c = 4.8570 Å
α = 90.00°, β = 90.00°, γ = 120.00°
Last column: nearest neighbours and their distance in Å.
Atoms (fractional coordinates):
Co (0.0000, 0.0000, 0.0000)  8 Co 2.43-2.59, 6 Ni 2.61
Co (0.0000, 0.0000, 0.5000)  8 Co 2.43-2.59, 6 Ni 2.61
Co (0.0000, 0.3310, 0.2500)  5 Ni 2.29-2.43
Co (0.0000, 0.6690, 0.7500)  5 Ni 2.29-2.43
Co (0.3310, 0.0000, 0.2500)  5 Ni 2.29-2.43
Co (0.3310, 0.3310, 0.7500)  5 Ni 2.29-2.43
Co (0.6690, 0.0000, 0.7500)  5 Ni 2.29-2.43
Co (0.6690, 0.6690, 0.2500)  5 Ni 2.29-2.43
Ni (0.0000, 0.3340, 0.7500)  5 Co 2.29-2.43
Ni (0.0000, 0.6660, 0.2500)  5 Co 2.29-2.43
Ni (0.3333, 0.6667, 0.0000)  8 Ni 2.43-2.60, 6 Co 2.61
Ni (0.3333, 0.6667, 0.5000)  8 Ni 2.43-2.60, 6 Co 2.61
Ni (0.3340, 0.0000, 0.7500)  5 Co 2.29-2.43
Ni (0.3340, 0.3340, 0.2500)  5 Co 2.29-2.43
Ni (0.6660, 0.0000, 0.2500)  5 Co 2.29-2.43
Ni (0.6660, 0.6660, 0.7500)  5 Co 2.29-2.43
Ni (0.6667, 0.3333, 0.0000)  8 Ni 2.43-2.60, 6 Co 2.61
Ni (0.6667, 0.3333, 0.5000)  8 Ni 2.43-2.60, 6 Co 2.61


Entry three
# Co4Ni5

A geometry-optimized Co4Ni5 structure (GGA-PBE, Alexandria).

Properties
- density of states at the Fermi level (states/eV/cell) = 10.95
- total magnetic moment (μB per formula unit) = 9.90
- theoretical density (g cm⁻³) = 8.9

a = 6.3692 Å, b = 6.3692 Å, c = 6.3692 Å
α = 92.28°, β = 92.28°, γ = 157.00°
Last column: nearest neighbours and their distance in Å.
Atoms (fractional coordinates):
Co (0.0383, 0.3389, 0.3772)  6 Co 2.43-2.54, 5 Ni 2.46-2.50
Co (0.3389, 0.9617, 0.3007)  6 Co 2.43-2.54, 5 Ni 2.46-2.50
Co (0.6611, 0.0383, 0.6993)  6 Co 2.43-2.54, 5 Ni 2.46-2.50
Co (0.9617, 0.6611, 0.6228)  6 Co 2.43-2.54, 5 Ni 2.46-2.50
Ni (0.0000, 0.0000, 0.0000)  10 Ni 2.44-2.54
Ni (0.3168, 0.3512, 0.6680)  6 Ni 2.44-2.54, 5 Co 2.46-2.50
Ni (0.3512, 0.6832, 0.0345)  6 Ni 2.44-2.54, 5 Co 2.46-2.50
Ni (0.6488, 0.3168, 0.9655)  6 Ni 2.44-2.54, 5 Co 2.46-2.50
Ni (0.6832, 0.6488, 0.3320)  6 Ni 2.44-2.54, 5 Co 2.46-2.50


Which of them is most stable, and which least? Most stable: entry one; least stable: entry two.


Entry one
# Co5Ni6

A geometry-optimized Co5Ni6 structure (GGA-PBE, Alexandria).

Properties
- density of states at the Fermi level (states/eV/cell) = 12.29
- total magnetic moment (μB per formula unit) = 12.23
- theoretical density (g cm⁻³) = 8.5

a = 4.2531 Å, b = 4.2531 Å, c = 8.2155 Å
α = 94.94°, β = 94.94°, γ = 119.98°
Last column: nearest neighbours and their distance in Å.
Atoms (fractional coordinates):
Co (0.0000, 0.0000, 0.0000)  6 Co 2.45-2.46, 6 Ni 2.49
Co (0.1668, 0.8332, 0.5000)  6 Ni 2.45, 3 Co 2.45-2.46
Co (0.3328, 0.6672, 0.0000)  6 Co 2.45-2.46, 6 Ni 2.49
Co (0.6672, 0.3328, 0.0000)  6 Co 2.45-2.46, 6 Ni 2.49
Co (0.8332, 0.1668, 0.5000)  6 Ni 2.45, 3 Co 2.45-2.46
Ni (0.0844, 0.4172, 0.2528)  5 Co 2.45-2.49, 6 Ni 2.45-2.46
Ni (0.2496, 0.2496, 0.7473)  6 Ni 2.45-2.46, 5 Co 2.45-2.49
Ni (0.4172, 0.0844, 0.2528)  5 Co 2.45-2.49, 6 Ni 2.45-2.46
Ni (0.5828, 0.9156, 0.7472)  5 Co 2.45-2.49, 6 Ni 2.45-2.46
Ni (0.7504, 0.7504, 0.2527)  6 Ni 2.45-2.46, 5 Co 2.45-2.49
Ni (0.9156, 0.5828, 0.7472)  5 Co 2.45-2.49, 6 Ni 2.45-2.46


Entry two
# Co5Ni6

A geometry-optimized Co5Ni6 structure (GGA-PBE, Alexandria).

Properties
- density of states at the Fermi level (states/eV/cell) = 12.00
- total magnetic moment (μB per formula unit) = 12.47
- theoretical density (g cm⁻³) = 8.6

a = 5.8242 Å, b = 5.8242 Å, c = 4.1547 Å
α = 104.37°, β = 104.37°, γ = 104.98°
Last column: nearest neighbours and their distance in Å.
Atoms (fractional coordinates):
Co (0.0000, 0.0000, 0.0000)  6 Co 2.41-2.52, 6 Ni 2.46-2.49
Co (0.1323, 0.8677, 0.5000)  5 Co 2.41-2.45, 6 Ni 2.43-2.46
Co (0.2725, 0.7275, 0.0000)  8 Ni 2.43-2.56, 3 Co 2.45-2.52
Co (0.7275, 0.2725, 0.0000)  8 Ni 2.43-2.56, 3 Co 2.45-2.52
Co (0.8677, 0.1323, 0.5000)  5 Co 2.41-2.45, 6 Ni 2.43-2.46
Ni (0.1703, 0.4517, 0.3749)  6 Co 2.43-2.56, 5 Ni 2.43-2.60
Ni (0.3119, 0.3119, 0.8807)  5 Co 2.43-2.46, 5 Ni 2.43-2.47
Ni (0.4517, 0.1703, 0.3749)  6 Co 2.43-2.56, 5 Ni 2.43-2.60
Ni (0.5483, 0.8297, 0.6251)  6 Co 2.43-2.56, 5 Ni 2.43-2.60
Ni (0.6881, 0.6881, 0.1193)  5 Co 2.43-2.46, 5 Ni 2.43-2.47
Ni (0.8297, 0.5483, 0.6251)  6 Co 2.43-2.56, 5 Ni 2.43-2.60


Which of them is most stable, and which least? Most stable: entry two; least stable: entry one.


Entry one
# Co5Ni7

A geometry-optimized Co5Ni7 structure (GGA-PBE, Alexandria).

Properties
- density of states at the Fermi level (states/eV/cell) = 12.67
- total magnetic moment (μB per formula unit) = 13.27
- theoretical density (g cm⁻³) = 9.0

a = 7.8696 Å, b = 7.8696 Å, c = 3.5250 Å
α = 90.00°, β = 90.00°, γ = 143.19°
Last column: nearest neighbours and their distance in Å.
Atoms (fractional coordinates):
Co (0.0000, 0.0000, 0.0000)  10 Ni 2.48, 2 Co 2.49
Co (0.0000, 0.5000, 0.5000)  6 Ni 2.48-2.49, 6 Co 2.48-2.49
Co (0.1669, 0.8331, 0.0000)  7 Ni 2.46-2.49, 5 Co 2.49
Co (0.5000, 0.0000, 0.5000)  6 Ni 2.48-2.49, 6 Co 2.48-2.49
Co (0.8331, 0.1669, 0.0000)  7 Ni 2.46-2.49, 5 Co 2.49
Ni (0.1648, 0.3314, 0.5000)  7 Ni 2.47-2.51, 5 Co 2.48-2.49
Ni (0.3314, 0.1648, 0.5000)  7 Ni 2.47-2.51, 5 Co 2.48-2.49
Ni (0.3319, 0.6681, 0.0000)  7 Co 2.46-2.48, 5 Ni 2.51
Ni (0.5000, 0.5000, 0.0000)  2 Co 2.48, 10 Ni 2.49-2.51
Ni (0.6681, 0.3319, 0.0000)  7 Co 2.46-2.48, 5 Ni 2.51
Ni (0.6686, 0.8352, 0.5000)  7 Ni 2.47-2.51, 5 Co 2.48-2.49
Ni (0.8352, 0.6686, 0.5000)  7 Ni 2.47-2.51, 5 Co 2.48-2.49


Entry two
# Co5Ni7

A geometry-optimized Co5Ni7 structure (GGA-PBE, Alexandria).

Properties
- density of states at the Fermi level (states/eV/cell) = 14.75
- total magnetic moment (μB per formula unit) = 12.78
- theoretical density (g cm⁻³) = 8.8

a = 4.3897 Å, b = 4.3897 Å, c = 8.6560 Å
α = 105.08°, β = 105.08°, γ = 56.18°
Last column: nearest neighbours and their distance in Å.
Atoms (fractional coordinates):
Co (0.0000, 0.0000, 0.0000)  2 Co 2.43, 8 Ni 2.43-2.59
Co (0.1682, 0.1682, 0.4963)  4 Co 2.40-2.62, 6 Ni 2.43-2.56
Co (0.2490, 0.2490, 0.2488)  2 Co 2.40-2.43, 8 Ni 2.43-2.59
Co (0.7510, 0.7510, 0.7512)  2 Co 2.40-2.43, 8 Ni 2.43-2.59
Co (0.8318, 0.8318, 0.5037)  4 Co 2.40-2.62, 6 Ni 2.43-2.56
Ni (0.0846, 0.0846, 0.7491)  6 Co 2.43-2.59, 4 Ni 2.43-2.59
Ni (0.3334, 0.3334, 0.9985)  6 Ni 2.43-2.57, 4 Co 2.43-2.59
Ni (0.4184, 0.4184, 0.7489)  6 Ni 2.42-2.59, 4 Co 2.44-2.57
Ni (0.5000, 0.5000, 0.5000)  2 Ni 2.42, 8 Co 2.45-2.56
Ni (0.5816, 0.5816, 0.2511)  6 Ni 2.42-2.59, 4 Co 2.44-2.57
Ni (0.6666, 0.6666, 0.0015)  6 Ni 2.43-2.57, 4 Co 2.43-2.59
Ni (0.9154, 0.9154, 0.2509)  6 Co 2.43-2.59, 4 Ni 2.43-2.59


Which of them is most stable, and which least? Most stable: entry one; least stable: entry two.


Entry one
# NpCo2Ni

A geometry-optimized NpCo2Ni structure (GGA-PBE, Alexandria).

Properties
- density of states at the Fermi level (states/eV/cell) = 7.81
- total magnetic moment (μB per formula unit) = 2.39
- theoretical density (g cm⁻³) = 12.5

a = 4.3057 Å, b = 4.3057 Å, c = 4.3057 Å
α = 58.85°, β = 58.85°, γ = 58.85°
Last column: nearest neighbours and their distance in Å.
Atoms (fractional coordinates):
Np (0.0000, 0.0000, 0.0000)  8 Co 2.55-2.80
Co (0.2634, 0.2634, 0.2634)  4 Ni 2.52-2.65, 4 Np 2.55-2.80
Co (0.7366, 0.7366, 0.7366)  4 Ni 2.52-2.65, 4 Np 2.55-2.80
Ni (0.5000, 0.5000, 0.5000)  8 Co 2.52-2.65


Entry two
# NpCo2Ni

A geometry-optimized NpCo2Ni structure (GGA-PBE, Alexandria).

Properties
- density of states at the Fermi level (states/eV/cell) = 7.04
- total magnetic moment (μB per formula unit) = 1.38
- theoretical density (g cm⁻³) = 12.8

a = 3.8338 Å, b = 3.8338 Å, c = 3.6456 Å
α = 90.00°, β = 90.00°, γ = 90.00°
Last column: nearest neighbours and their distance in Å.
Atoms (fractional coordinates):
Np (0.0000, 0.0000, 0.0000)  8 Co 2.65, 4 Ni 2.71
Co (0.0000, 0.5000, 0.5000)  4 Ni 2.65, 4 Np 2.65, 4 Co 2.71
Co (0.5000, 0.0000, 0.5000)  4 Ni 2.65, 4 Np 2.65, 4 Co 2.71
Ni (0.5000, 0.5000, 0.0000)  8 Co 2.65, 4 Np 2.71


Which of them is most stable, and which least? Most stable: entry two; least stable: entry one.